Crystalline Rb2AlRhI6 at its relaxed geometry, computed with PBE.

Cell and atoms, written as extended XYZ:
```
10
Lattice="8.086 0.000 0.000 0.000 8.086 0.000 4.043 4.043 5.698" Properties=species:S:1:pos:R:3 pbc="T T T"
I 4.043 4.043 2.928
I 8.086 8.086 2.770
I 1.952 1.952 0.000
I 6.134 6.134 0.000
I 6.134 1.952 0.000
I 1.952 6.134 0.000
Rh 0.000 0.000 0.000
Al 4.043 4.043 0.000
Rb 8.086 4.043 2.849
Rb 4.043 8.086 2.849
```

Computed properties:
Total magnetization = 0.0 μB per formula unit
Volume = 372.6 Å³/f.u.
Space-group type = I4/mmm
Raw formation energy = -710 meV per atom